Computed, not measured: TaTe2Pt after structural relaxation at the PBE level of DFT.

abc: 3.114 5.018 5.409
angles: 90.00 92.85 90.00
Sites, in units of the cell vectors:
Ta1 0.000 0.000 0.000
Te1 0.229 0.500 0.750
Te2 0.771 0.500 0.250
Pt1 0.500 0.000 0.500

Summary:
The theoretical density comes out at 12.42 g cm⁻³. The uncorrected formation energy comes out at 0.47 eV/atom. The total moment comes out at 0.00 μB/f.u.

***

Computed, not measured: TaCuTe after structural relaxation at the PBE level of DFT.

abc: 3.361 3.361 6.433
angles: 90.00 90.00 120.00
Sites, in units of the cell vectors:
Ta1 0.000 0.000 0.000
Cu1 0.667 0.333 0.710
Te1 0.333 0.667 0.308

Summary:
The theoretical density comes out at 9.82 g cm⁻³. The uncorrected formation energy comes out at 0.36 eV/atom. The value obtained for the energy above the most stable polymorph in this dataset is 0.151 eV per atom. The total moment comes out at 0.00 μB/f.u.

***

Computed, not measured: Sc12Co5Bi after structural relaxation at the PBE level of DFT.

abc: 7.725 7.725 7.725
angles: 111.23 110.96 106.27
Sites, in units of the cell vectors:
Sc1 0.024 0.220 0.804
Sc2 0.181 0.277 0.457
Sc3 0.181 0.723 0.904
Sc4 0.319 0.008 0.690
Sc5 0.319 0.629 0.310
Sc6 0.416 0.220 0.196
Sc7 0.584 0.780 0.804
Sc8 0.681 0.371 0.690
Sc9 0.681 0.992 0.310
Sc10 0.819 0.277 0.096
Sc11 0.819 0.723 0.543
Sc12 0.976 0.780 0.196
Co1 0.000 0.000 0.000
Co2 0.119 0.619 0.500
Co3 0.348 0.000 0.348
Co4 0.652 0.000 0.652
Co5 0.881 0.381 0.500
Bi1 0.500 0.500 0.000

Summary:
The theoretical density comes out at 4.89 g cm⁻³. The formation energy comes out at -355 meV per atom. The total moment comes out at 0.00 μB/f.u.

***

Computed, not measured: CaHgMo after structural relaxation at the PBE level of DFT.

abc: 4.137 4.209 14.478
angles: 90.00 90.00 90.00
Sites, in units of the cell vectors:
Ca1 0.000 0.000 0.000
Ca2 0.000 0.500 0.500
Ca3 0.500 0.000 0.500
Ca4 0.500 0.500 0.000
Hg1 0.000 0.000 0.675
Hg2 0.000 0.500 0.175
Hg3 0.500 0.000 0.175
Hg4 0.500 0.500 0.675
Mo1 0.000 0.000 0.329
Mo2 0.000 0.500 0.829
Mo3 0.500 0.000 0.829
Mo4 0.500 0.500 0.329

Summary:
The theoretical density comes out at 8.87 g cm⁻³. The formation energy comes out at 481 meV per atom. The value obtained for the energy above the most stable polymorph in this dataset is 0.000 eV per atom. The total moment comes out at 0.00 μB/f.u.

***

Computed, not measured: CaGa2SiPd4 after structural relaxation at the PBE level of DFT.

abc: 8.928 8.928 8.928
angles: 28.07 28.07 28.07
Sites, in units of the cell vectors:
Ca1 0.000 0.000 0.000
Ga1 0.250 0.250 0.250
Ga2 0.750 0.750 0.750
Si1 0.500 0.500 0.500
Pd1 0.138 0.138 0.138
Pd2 0.408 0.408 0.408
Pd3 0.592 0.592 0.592
Pd4 0.862 0.862 0.862

Summary:
The theoretical density comes out at 7.56 g cm⁻³. The uncorrected formation energy comes out at -0.64 eV/atom. The total moment comes out at 0.00 μB/f.u.

***

Computed, not measured: NbVCrRu after structural relaxation at the PBE level of DFT.

abc: 3.041 3.041 6.169
angles: 90.00 90.00 90.00
Sites, in units of the cell vectors:
Nb1 0.000 0.000 0.000
V1 0.000 0.000 0.523
Cr1 0.500 0.500 0.747
Ru1 0.500 0.500 0.275

Summary:
The theoretical density comes out at 8.64 g cm⁻³. The formation energy comes out at -190 meV per atom. The value obtained for the energy above the most stable polymorph in this dataset is 0.000 eV per atom. The total moment comes out at 0.00 μB/f.u.

***

> Which value of theoretical density does entry 3 give?

4.89 g cm⁻³